Record 1
Computed, not measured: La2Pm2SmY2 after structural relaxation at the PBE level of DFT.

## Properties
calculated formation energy: 23 meV per atom
calculated density: 6153 kg/m³
magnetic moment: 0.00 μB per atom
DOS at the Fermi energy: 1.7016 states/eV/atom
symmetry: No. 12

Lattice parameters (Å, degrees): 6.3330 6.3330 8.1662 97.48 97.48 48.24
Last column: nearest neighbours and their distance in Å.
Atoms (fractional coordinates):
La: 0.1423 0.1423 0.4276  1 Sm 3.64, 3 La 3.65-3.67, 5 Pm 3.65-3.68, 3 Y 3.68
La: 0.8577 0.8577 0.5724  1 Sm 3.64, 3 La 3.65-3.67, 5 Pm 3.65-3.68, 3 Y 3.68
Pm: 0.4292 0.4292 0.2820  4 Y 3.60-3.66, 2 Sm 3.63, 5 La 3.65-3.68, 1 Pm 3.70
Pm: 0.5708 0.5708 0.7180  4 Y 3.60-3.66, 2 Sm 3.63, 5 La 3.65-3.68, 1 Pm 3.70
Sm: 0.0000 0.0000 0.0000  6 Y 3.63-3.66, 4 Pm 3.63, 2 La 3.64
Y: 0.2846 0.2846 0.8610  4 Pm 3.60-3.66, 2 Y 3.61, 3 Sm 3.63-3.66, 3 La 3.68
Y: 0.7154 0.7154 0.1390  4 Pm 3.60-3.66, 2 Y 3.61, 3 Sm 3.63-3.66, 3 La 3.68

=====

Record 2
Computed, not measured: La6Pm2SmY after structural relaxation at the PBE level of DFT.

## Properties
calculated formation energy: 108 meV per atom
calculated density: 6365 kg/m³
magnetic moment: 0.00 μB per atom
DOS at the Fermi energy: 1.1909 states/eV/atom
symmetry: No. 15

Lattice parameters (Å, degrees): 9.1439 9.1439 9.3405 91.04 91.04 114.37
Last column: nearest neighbours and their distance in Å.
Atoms (fractional coordinates):
La: 0.0393 0.4777 0.6805  3 La 3.37-3.50, 1 Sm 3.43, 1 Y 3.45, 1 Pm 3.52
La: 0.0652 0.7848 0.8995  3 La 3.21-3.49, 1 Y 3.47, 1 Pm 3.56
La: 0.2152 0.9348 0.6005  3 La 3.21-3.49, 1 Y 3.47, 1 Pm 3.56
La: 0.2724 0.5786 0.0874  4 La 3.33-3.63, 2 Sm 3.54-3.72, 1 Pm 3.62
La: 0.4214 0.7276 0.4126  4 La 3.33-3.63, 2 Sm 3.54-3.72, 1 Pm 3.62
La: 0.4777 0.0393 0.1805  3 La 3.37-3.50, 1 Sm 3.43, 1 Y 3.45, 1 Pm 3.52
La: 0.5223 0.9607 0.8195  3 La 3.37-3.50, 1 Sm 3.43, 1 Y 3.45, 1 Pm 3.52
La: 0.5786 0.2724 0.5874  4 La 3.33-3.63, 2 Sm 3.54-3.72, 1 Pm 3.62
La: 0.7276 0.4214 0.9126  4 La 3.33-3.63, 2 Sm 3.54-3.72, 1 Pm 3.62
La: 0.7848 0.0652 0.3995  3 La 3.21-3.49, 1 Y 3.47, 1 Pm 3.56
La: 0.9348 0.2152 0.1005  3 La 3.21-3.49, 1 Y 3.47, 1 Pm 3.56
La: 0.9607 0.5223 0.3195  3 La 3.37-3.50, 1 Sm 3.43, 1 Y 3.45, 1 Pm 3.52
Pm: 0.2064 0.2959 0.4362  2 Sm 3.49-3.78, 1 Y 3.52, 7 La 3.52-3.83
Pm: 0.2959 0.2064 0.9362  2 Sm 3.49-3.78, 1 Y 3.52, 7 La 3.52-3.83
Pm: 0.7041 0.7936 0.0638  2 Sm 3.49-3.78, 1 Y 3.52, 7 La 3.52-3.83
Pm: 0.7936 0.7041 0.5638  2 Sm 3.49-3.78, 1 Y 3.52, 7 La 3.52-3.83
Sm: 0.4364 0.5636 0.7500  6 La 3.43-3.72, 4 Pm 3.49-3.78
Sm: 0.5636 0.4364 0.2500  6 La 3.43-3.72, 4 Pm 3.49-3.78
Y: 0.0761 0.9239 0.2500  6 La 3.45-3.69, 2 Pm 3.52
Y: 0.9239 0.0761 0.7500  6 La 3.45-3.69, 2 Pm 3.52

=====

Record 3
Computed, not measured: LaPm2Sm6Y after structural relaxation at the PBE level of DFT.

## Properties
calculated formation energy: 118 meV per atom
calculated density: 6823 kg/m³
magnetic moment: 0.00 μB per atom
DOS at the Fermi energy: 1.5644 states/eV/atom
symmetry: No. 15

Lattice parameters (Å, degrees): 8.9732 8.9732 9.8909 94.50 94.50 118.57
Last column: nearest neighbours and their distance in Å.
Atoms (fractional coordinates):
La: 0.0952 0.9048 0.7500  8 Sm 3.51-3.90, 2 Pm 3.68
La: 0.9048 0.0952 0.2500  8 Sm 3.51-3.90, 2 Pm 3.68
Pm: 0.2063 0.3107 0.9585  6 Sm 3.33-3.71, 2 Y 3.39-3.44, 1 La 3.68
Pm: 0.3107 0.2063 0.4585  6 Sm 3.33-3.71, 2 Y 3.39-3.44, 1 La 3.68
Pm: 0.6893 0.7937 0.5415  6 Sm 3.33-3.71, 2 Y 3.39-3.44, 1 La 3.68
Pm: 0.7937 0.6893 0.0415  6 Sm 3.33-3.71, 2 Y 3.39-3.44, 1 La 3.68
Sm: 0.0008 0.2088 0.6219  3 Sm 3.29-3.44, 3 Pm 3.33-3.50, 2 La 3.51-3.66
Sm: 0.0762 0.5283 0.1828  5 Sm 3.29-3.67, 1 Pm 3.46, 1 La 3.57, 1 Y 3.65
Sm: 0.2088 0.0008 0.1219  3 Sm 3.29-3.44, 3 Pm 3.33-3.50, 2 La 3.51-3.66
Sm: 0.2513 0.6213 0.5556  6 Sm 3.44-3.84, 1 Pm 3.49, 1 Y 3.72
Sm: 0.3787 0.7487 0.9444  6 Sm 3.44-3.84, 1 Pm 3.49, 1 Y 3.72
Sm: 0.4717 0.9238 0.3172  5 Sm 3.29-3.67, 1 Pm 3.46, 1 La 3.57, 1 Y 3.65
Sm: 0.5283 0.0762 0.6828  5 Sm 3.29-3.67, 1 Pm 3.46, 1 La 3.57, 1 Y 3.65
Sm: 0.6213 0.2513 0.0556  6 Sm 3.44-3.84, 1 Pm 3.49, 1 Y 3.72
Sm: 0.7487 0.3787 0.4444  6 Sm 3.44-3.84, 1 Pm 3.49, 1 Y 3.72
Sm: 0.7912 0.9992 0.8781  3 Sm 3.29-3.44, 3 Pm 3.33-3.50, 2 La 3.51-3.66
Sm: 0.9238 0.4717 0.8172  5 Sm 3.29-3.67, 1 Pm 3.46, 1 La 3.57, 1 Y 3.65
Sm: 0.9992 0.7912 0.3781  3 Sm 3.29-3.44, 3 Pm 3.33-3.50, 2 La 3.51-3.66
Y: 0.4786 0.5214 0.2500  4 Pm 3.39-3.44, 4 Sm 3.65-3.72
Y: 0.5214 0.4786 0.7500  4 Pm 3.39-3.44, 4 Sm 3.65-3.72